Material: CrTcW
Method: DFT, GGA-PBEsol
State: optimized geometry

## Properties
crystal system	trigonal
formation energy	0.123	eV per atom
spin magnetization	0.00	μB per atom
V	13.776	Å³/atom
uncorrected energy	-11.6494	eV/atom

Lattice parameters (Å, degrees): 2.664 4.232 4.232 120.00 90.00 90.00
Sites, in units of the cell vectors:
W  0.323  0.667  0.333
Cr  0.012  0.000  0.000
Tc  0.665  0.333  0.667

***

Material: YInSb2
Method: DFT, GGA-PBEsol
State: optimized geometry

## Properties
crystal system	tetragonal
E_form (uncorrected)	-249	meV/atom
spin magnetization	0.00	μB per atom
V	37.417	Å³/atom
uncorrected energy	-4.9793	eV/atom

Lattice parameters (Å, degrees): 6.907 6.907 7.952 115.74 115.74 90.00
Sites, in units of the cell vectors:
Y  0.500  0.500  0.000
Y  0.750  0.250  0.500
Sb  0.894  0.375  0.250
Sb  0.125  0.106  0.750
Sb  0.625  0.644  0.750
Sb  0.356  0.875  0.250
In  0.250  0.750  0.500
In  0.000  0.000  0.000